1.
Here is an optimized crystal structure of DyBiNO from the Open Quantum Materials Database. Energies are from GGA-PBE.

The structure in POSCAR format:
```
DyBiNO
1.0
3.7029 0.0000 0.0000
0.0000 7.0264 0.0000
0.0000 0.0000 5.8187
Dy Bi N O
2 2 2 2
Direct
0.0000 0.1408 0.0000
0.0000 0.8592 0.5000
0.5000 0.3608 0.4706
0.5000 0.6392 0.9706
0.0000 0.1695 0.3975
0.0000 0.8305 0.8975
0.5000 0.2014 0.8289
0.5000 0.7986 0.3289
```

Summary:
* size of the total moment: 0.0 μB/f.u.
* volume: 18.92 Å³/atom

2.
Here is an optimized crystal structure of ErReN3 from the Open Quantum Materials Database. Energies are from GGA-PBE.

The structure in POSCAR format:
```
ErReN3
1.0
5.5713 -4.7793 0.0000
5.5713 4.7793 0.0000
-2.5277 0.0000 5.7273
Er Re N
4 4 12
Direct
0.0925 0.9075 0.7500
0.2856 0.7144 0.2500
0.7144 0.2856 0.7500
0.9075 0.0925 0.2500
0.2048 0.3770 0.7866
0.3770 0.2048 0.2866
0.6230 0.7952 0.7134
0.7952 0.6230 0.2134
0.0052 0.2164 0.6615
0.1278 0.6291 0.8395
0.2164 0.0052 0.1615
0.3294 0.3701 0.0951
0.3701 0.3294 0.5951
0.3709 0.8722 0.6605
0.6291 0.1278 0.3395
0.6299 0.6706 0.4049
0.6706 0.6299 0.9049
0.7836 0.9948 0.8385
0.8722 0.3709 0.1605
0.9948 0.7836 0.3385
```

Summary:
* size of the total moment: 0.0 μB/f.u.
* volume: 15.25 Å³/atom

3.
Here is an optimized crystal structure of MgNi from the Open Quantum Materials Database. Energies are from GGA-PBE.

The structure in POSCAR format:
```
MgNi
1.0
4.3195 0.0000 0.0000
0.0000 5.8652 0.0000
0.0000 0.0000 4.5565
Mg Ni
4 4
Direct
0.0000 0.0000 0.0000
0.0000 0.2825 0.4667
0.0000 0.7175 0.4667
0.5000 0.0000 0.5859
0.0000 0.5000 0.9616
0.5000 0.2889 0.1028
0.5000 0.5000 0.6332
0.5000 0.7111 0.1028
```

Summary:
* size of the total moment: 0.0 μB/f.u.
* volume: 14.43 Å³/atom

4.
Here is an optimized crystal structure of PuAlB from the Open Quantum Materials Database. Energies are from GGA-PBE.

The structure in POSCAR format:
```
PuAlB
1.0
6.1906 0.0000 0.0000
0.0000 6.1906 0.0000
0.0000 0.0000 6.1906
Pu Al B
4 4 4
Direct
0.0000 0.0000 0.0000
0.0000 0.5000 0.5000
0.5000 0.0000 0.5000
0.5000 0.5000 0.0000
0.2500 0.2500 0.7500
0.2500 0.7500 0.2500
0.7500 0.2500 0.2500
0.7500 0.7500 0.7500
0.2500 0.2500 0.2500
0.2500 0.7500 0.7500
0.7500 0.2500 0.7500
0.7500 0.7500 0.2500
```

Summary:
* size of the total moment: 5.1 μB/f.u.
* volume: 19.77 Å³/atom

5.
Here is an optimized crystal structure of GaTc2B2 from the Open Quantum Materials Database. Energies are from GGA-PBE.

The structure in POSCAR format:
```
GaTc2B2
1.0
3.7462 0.0000 0.0000
0.0000 3.7462 0.0000
0.0000 0.0000 8.5945
Ga Tc B
2 4 4
Direct
0.0000 0.0000 0.0000
0.5000 0.5000 0.5000
0.0000 0.5000 0.2500
0.0000 0.5000 0.7500
0.5000 0.0000 0.2500
0.5000 0.0000 0.7500
0.0000 0.0000 0.3991
0.0000 0.0000 0.6009
0.5000 0.5000 0.1009
0.5000 0.5000 0.8991
```

Summary:
* size of the total moment: 0.0 μB/f.u.
* volume: 12.06 Å³/atom

6.
Here is an optimized crystal structure of SmGdSi2Ir from the Open Quantum Materials Database. Energies are from GGA-PBE.

The structure in POSCAR format:
```
SmGdSi2Ir
1.0
5.2971 -2.1437 0.0000
5.2971 2.1437 0.0000
-4.7802 0.0000 9.1092
Sm Gd Si Ir
2 2 4 2
Direct
0.1918 0.1918 0.1138
0.8082 0.8082 0.8862
0.0055 0.0055 0.3283
0.9945 0.9945 0.6717
0.3497 0.3497 0.4458
0.4914 0.4914 0.1174
0.5086 0.5086 0.8826
0.6503 0.6503 0.5542
0.2704 0.2704 0.6546
0.7296 0.7296 0.3454
```

Summary:
* size of the total moment: 0.0 μB/f.u.
* volume: 20.69 Å³/atom

7.
Here is an optimized crystal structure of Cd2AsO4F from the Open Quantum Materials Database. Energies are from GGA-PBE.

The structure in POSCAR format:
```
Cd2AsO4F
1.0
7.1183 -3.4332 0.0000
7.1183 3.4332 0.0000
-5.4579 0.0000 9.2457
Cd As O F
8 4 16 4
Direct
0.1938 0.7088 0.5152
0.2388 0.4542 0.1530
0.2912 0.8062 0.9848
0.4542 0.2388 0.6530
0.5458 0.7612 0.3470
0.7088 0.1938 0.0152
0.7612 0.5458 0.8470
0.8062 0.2912 0.4848
0.0851 0.2689 0.3079
0.2689 0.0851 0.8079
0.7311 0.9149 0.1921
0.9149 0.7311 0.6921
0.0544 0.1114 0.1346
0.1032 0.2762 0.9271
0.1114 0.0544 0.6346
0.1498 0.4458 0.3186
0.1639 0.5816 0.6481
0.2762 0.1032 0.4271
0.4184 0.8361 0.8519
0.4458 0.1498 0.8186
0.5542 0.8502 0.1814
0.5816 0.1639 0.1481
0.7238 0.8968 0.5729
0.8361 0.4184 0.3519
0.8502 0.5542 0.6814
0.8886 0.9456 0.3654
0.8968 0.7238 0.0729
0.9456 0.8886 0.8654
0.4016 0.5728 0.1092
0.4272 0.5984 0.3908
0.5728 0.4016 0.6092
0.5984 0.4272 0.8908
```

Summary:
* volume: 14.12 Å³/atom

8.
Here is an optimized crystal structure of ZrGaCoPt from the Open Quantum Materials Database. Energies are from GGA-PBE.

The structure in POSCAR format:
```
ZrGaCoPt
1.0
6.3243 0.0000 0.0000
0.0000 6.3243 0.0000
0.0000 0.0000 6.3243
Zr Ga Co Pt
4 4 4 4
Direct
0.0000 0.0000 0.0000
0.0000 0.5000 0.5000
0.5000 0.0000 0.5000
0.5000 0.5000 0.0000
0.0000 0.0000 0.5000
0.0000 0.5000 0.0000
0.5000 0.0000 0.0000
0.5000 0.5000 0.5000
0.2500 0.2500 0.7500
0.2500 0.7500 0.2500
0.7500 0.2500 0.2500
0.7500 0.7500 0.7500
0.2500 0.2500 0.2500
0.2500 0.7500 0.7500
0.7500 0.2500 0.7500
0.7500 0.7500 0.2500
```

Summary:
* size of the total moment: 0.1 μB/f.u.
* volume: 15.81 Å³/atom

9.
Here is an optimized crystal structure of PrSmBrN from the Open Quantum Materials Database. Energies are from GGA-PBE.

The structure in POSCAR format:
```
PrSmBrN
1.0
3.7021 0.0000 0.0000
-1.8510 3.2061 0.0000
0.0000 0.0000 14.5858
Pr Sm Br N
2 2 2 2
Direct
0.3333 0.6667 0.0930
0.6667 0.3333 0.9070
0.3333 0.6667 0.4121
0.6667 0.3333 0.5879
0.3333 0.6667 0.7426
0.6667 0.3333 0.2574
0.0000 0.0000 0.0000
0.0000 0.0000 0.5000
```

Summary:
* size of the total moment: 0.0 μB/f.u.
* volume: 21.64 Å³/atom

10.
Here is an optimized crystal structure of Tm3AlIn2Cu3 from the Open Quantum Materials Database. Energies are from GGA-PBE.

The structure in POSCAR format:
```
Tm3AlIn2Cu3
1.0
3.7793 0.0000 0.0000
0.0000 6.4264 3.6755
0.0000 -6.4264 3.6755
Tm Al In Cu
3 1 2 3
Direct
0.0000 0.0000 0.0000
0.0000 0.4192 0.8257
0.0000 0.8257 0.4192
0.5000 0.6719 0.6719
0.5000 0.1632 0.4176
0.5000 0.4176 0.1632
0.0000 0.4408 0.4408
0.5000 0.0720 0.7479
0.5000 0.7479 0.0720
```

Summary:
* size of the total moment: 0.0 μB/f.u.
* volume: 19.84 Å³/atom

11.
Here is an optimized crystal structure of KU from the Open Quantum Materials Database. Energies are from GGA-PBE.

The structure in POSCAR format:
```
KU
1.0
7.1794 0.0000 0.0000
0.0000 7.1794 0.0000
0.0000 0.0000 7.1794
K U
4 4
Direct
0.0000 0.0000 0.0000
0.0000 0.5000 0.5000
0.5000 0.0000 0.5000
0.5000 0.5000 0.0000
0.0000 0.0000 0.5000
0.0000 0.5000 0.0000
0.5000 0.0000 0.0000
0.5000 0.5000 0.5000
```

Summary:
* size of the total moment: 4.5 μB/f.u.
* volume: 46.26 Å³/atom

12.
Here is an optimized crystal structure of Ho3Er3FeSb2 from the Open Quantum Materials Database. Energies are from GGA-PBE.

The structure in POSCAR format:
```
Ho3Er3FeSb2
1.0
8.1380 0.0000 0.0000
-4.0690 7.0477 0.0000
0.0000 0.0000 4.0993
Ho Er Fe Sb
3 3 1 2
Direct
0.0000 0.7662 0.0000
0.2338 0.2338 0.0000
0.7662 0.0000 0.0000
0.0000 0.3949 0.5000
0.3949 0.0000 0.5000
0.6051 0.6051 0.5000
0.0000 0.0000 0.5000
0.3333 0.6667 0.0000
0.6667 0.3333 0.0000
```

Summary:
* size of the total moment: 0.0 μB/f.u.
* volume: 26.12 Å³/atom

13.
Here is an optimized crystal structure of Ni3SbC from the Open Quantum Materials Database. Energies are from GGA-PBE.

The structure in POSCAR format:
```
Ni3SbC
1.0
1.5225 -6.1067 0.0000
1.5225 6.1067 0.0000
0.0000 0.0000 6.8526
Ni Sb C
6 2 2
Direct
0.0613 0.9387 0.7500
0.4041 0.5959 0.5530
0.4041 0.5959 0.9470
0.5959 0.4041 0.0530
0.5959 0.4041 0.4470
0.9387 0.0613 0.2500
0.2490 0.7510 0.2500
0.7510 0.2490 0.7500
0.0000 0.0000 0.0000
0.0000 0.0000 0.5000
```

Summary:
* size of the total moment: 0.0 μB/f.u.
* volume: 12.74 Å³/atom

14.
Here is an optimized crystal structure of Cs2RbP2Au3 from the Open Quantum Materials Database. Energies are from GGA-PBE.

The structure in POSCAR format:
```
Cs2RbP2Au3
1.0
3.4012 1.9637 6.7030
-3.4012 1.9637 6.7030
0.0000 -3.9273 6.7030
Cs Rb P Au
2 1 2 3
Direct
0.0912 0.0912 0.0912
0.9088 0.9088 0.9088
0.5000 0.5000 0.5000
0.2645 0.2645 0.2645
0.7355 0.7355 0.7355
0.0000 0.5000 0.5000
0.5000 0.0000 0.5000
0.5000 0.5000 0.0000
```

Summary:
* volume: 33.58 Å³/atom

15.
Here is an optimized crystal structure of DyHoAg from the Open Quantum Materials Database. Energies are from GGA-PBE.

The structure in POSCAR format:
```
DyHoAg
1.0
6.9152 0.0000 0.0000
0.0000 6.9152 0.0000
0.0000 0.0000 6.9152
Dy Ho Ag
4 4 4
Direct
0.0000 0.0000 0.0000
0.0000 0.5000 0.5000
0.5000 0.0000 0.5000
0.5000 0.5000 0.0000
0.2500 0.2500 0.2500
0.2500 0.7500 0.7500
0.7500 0.2500 0.7500
0.7500 0.7500 0.2500
0.2500 0.2500 0.7500
0.2500 0.7500 0.2500
0.7500 0.2500 0.2500
0.7500 0.7500 0.7500
```

Summary:
* size of the total moment: 0.0 μB/f.u.
* volume: 27.56 Å³/atom
* formation energy: 0.5792 eV/atom

16.
Here is an optimized crystal structure of CsTcAgTeSe2 from the Open Quantum Materials Database. Energies are from GGA-PBE.

The structure in POSCAR format:
```
CsTcAgTeSe2
1.0
9.1291 0.0000 0.0000
0.0000 3.8991 0.0000
-4.4297 0.0000 9.7934
Cs Tc Ag Te Se
2 2 2 2 4
Direct
0.2280 0.2500 0.2480
0.7720 0.7500 0.7520
0.3298 0.7500 0.8570
0.6702 0.2500 0.1430
0.0596 0.2500 0.6077
0.9404 0.7500 0.3923
0.2773 0.7500 0.5828
0.7227 0.2500 0.4172
0.1452 0.2500 0.8716
0.4700 0.7500 0.1190
0.5300 0.2500 0.8810
0.8548 0.7500 0.1284
```

Summary:
* size of the total moment: 2.5 μB/f.u.
* volume: 29.05 Å³/atom

17.
Here is an optimized crystal structure of SmTmCu2Sn2 from the Open Quantum Materials Database. Energies are from GGA-PBE.

The structure in POSCAR format:
```
SmTmCu2Sn2
1.0
4.5449 0.0000 0.0000
-2.2724 3.9360 0.0000
0.0000 0.0000 7.2961
Sm Tm Cu Sn
1 1 2 2
Direct
0.0000 0.0000 0.0000
0.0000 0.0000 0.4990
0.3333 0.6667 0.3256
0.6667 0.3333 0.8050
0.3333 0.6667 0.7234
0.6667 0.3333 0.2365
```

Summary:
* size of the total moment: 0.0 μB/f.u.
* volume: 21.75 Å³/atom

18.
Here is an optimized crystal structure of ZrTlCuMo from the Open Quantum Materials Database. Energies are from GGA-PBE.

The structure in POSCAR format:
```
ZrTlCuMo
1.0
6.6836 0.0000 0.0000
0.0000 6.6836 0.0000
0.0000 0.0000 6.6836
Zr Tl Cu Mo
4 4 4 4
Direct
0.0000 0.0000 0.0000
0.0000 0.5000 0.5000
0.5000 0.0000 0.5000
0.5000 0.5000 0.0000
0.0000 0.0000 0.5000
0.0000 0.5000 0.0000
0.5000 0.0000 0.0000
0.5000 0.5000 0.5000
0.2500 0.2500 0.7500
0.2500 0.7500 0.2500
0.7500 0.2500 0.2500
0.7500 0.7500 0.7500
0.2500 0.2500 0.2500
0.2500 0.7500 0.7500
0.7500 0.2500 0.7500
0.7500 0.7500 0.2500
```

Summary:
* size of the total moment: 0.0 μB/f.u.
* volume: 18.66 Å³/atom

19.
Here is an optimized crystal structure of MgZnB4 from the Open Quantum Materials Database. Energies are from GGA-PBE.

The structure in POSCAR format:
```
MgZnB4
1.0
3.0657 0.0000 0.0000
-1.5328 2.6549 0.0000
0.0000 0.0000 6.8605
Mg Zn B
1 1 4
Direct
0.0000 0.0000 0.0000
0.0000 0.0000 0.5000
0.3333 0.6667 0.2531
0.3333 0.6667 0.7469
0.6667 0.3333 0.2531
0.6667 0.3333 0.7469
```

Summary:
* volume: 9.31 Å³/atom

20.
Here is an optimized crystal structure of Pr2Nb from the Open Quantum Materials Database. Energies are from GGA-PBE.

The structure in POSCAR format:
```
Pr2Nb
1.0
0.0000 6.1177 6.1177
6.1177 0.0000 6.1177
6.1177 6.1177 0.0000
Pr Nb
4 2
Direct
0.0000 0.0000 0.0000
0.0000 0.0000 0.5000
0.0000 0.5000 0.0000
0.5000 0.0000 0.0000
0.1250 0.1250 0.1250
0.8750 0.8750 0.8750
```

Summary:
* size of the total moment: 0.0 μB/f.u.
* volume: 76.32 Å³/atom
* formation energy: 1.8261 eV/atom

21.
Here is an optimized crystal structure of FeCoNiSn from the Open Quantum Materials Database. Energies are from GGA-PBE.

The structure in POSCAR format:
```
FeCoNiSn
1.0
5.9702 0.0000 0.0000
0.0000 5.9702 0.0000
0.0000 0.0000 5.9702
Fe Co Ni Sn
4 4 4 4
Direct
0.0000 0.0000 0.0000
0.0000 0.5000 0.5000
0.5000 0.0000 0.5000
0.5000 0.5000 0.0000
0.2500 0.2500 0.2500
0.2500 0.7500 0.7500
0.7500 0.2500 0.7500
0.7500 0.7500 0.2500
0.2500 0.2500 0.7500
0.2500 0.7500 0.2500
0.7500 0.2500 0.2500
0.7500 0.7500 0.7500
0.0000 0.0000 0.5000
0.0000 0.5000 0.0000
0.5000 0.0000 0.0000
0.5000 0.5000 0.5000
```

Summary:
* size of the total moment: 4.1 μB/f.u.
* volume: 13.30 Å³/atom

22.
Here is an optimized crystal structure of SmS from the Open Quantum Materials Database. Energies are from GGA-PBE.

The structure in POSCAR format:
```
SmS
1.0
6.2606 0.0000 0.0000
0.0000 6.2606 0.0000
0.0000 0.0000 6.2606
Sm S
4 4
Direct
0.0000 0.0000 0.0000
0.0000 0.5000 0.5000
0.5000 0.0000 0.5000
0.5000 0.5000 0.0000
0.2500 0.2500 0.2500
0.2500 0.7500 0.7500
0.7500 0.2500 0.7500
0.7500 0.7500 0.2500
```

Summary:
* size of the total moment: 0.0 μB/f.u.
* volume: 30.67 Å³/atom

23.
Here is an optimized crystal structure of AgHgAsO from the Open Quantum Materials Database. Energies are from GGA-PBE.

The structure in POSCAR format:
```
AgHgAsO
1.0
4.3730 0.0000 0.0000
0.0000 4.3730 0.0000
0.0000 0.0000 8.4205
Ag Hg As O
2 2 2 2
Direct
0.2500 0.2500 0.0351
0.7500 0.7500 0.9649
0.2500 0.7500 0.5000
0.7500 0.2500 0.5000
0.2500 0.2500 0.7038
0.7500 0.7500 0.2962
0.2500 0.7500 0.0000
0.7500 0.2500 0.0000
```

Summary:
* volume: 20.13 Å³/atom

24.
Here is an optimized crystal structure of CsTcTe2AuSe from the Open Quantum Materials Database. Energies are from GGA-PBE.

The structure in POSCAR format:
```
CsTcTe2AuSe
1.0
2.0115 -8.6145 0.0000
2.0115 8.6145 0.0000
0.0000 0.0000 10.5183
Cs Tc Te Au Se
2 2 4 2 2
Direct
0.2414 0.7586 0.7500
0.7586 0.2414 0.2500
0.0000 0.0000 0.0000
0.0000 0.0000 0.5000
0.3885 0.6115 0.0190
0.3885 0.6115 0.4810
0.6115 0.3885 0.5190
0.6115 0.3885 0.9810
0.4552 0.5448 0.2500
0.5448 0.4552 0.7500
0.0549 0.9451 0.2500
0.9451 0.0549 0.7500
```

Summary:
* size of the total moment: 2.5 μB/f.u.
* volume: 30.38 Å³/atom

| no. | energy (eV/f.u.) |
| --- | --- |
| 1 | -26.626 |
| 2 | -45.281 |
| 3 | -7.104 |
| 4 | -21.778 |
| 5 | -36.330 |
| 6 | -33.665 |
| 7 | -39.682 |
| 8 | -27.061 |
| 9 | -25.143 |
| 10 | -37.638 |
| 11 | -7.582 |
| 12 | -48.873 |
| 13 | -29.462 |
| 14 | -27.252 |
| 15 | -10.265 |
| 16 | -26.447 |
| 17 | -28.193 |
| 18 | -23.646 |
| 19 | -29.006 |
| 20 | -14.165 |
| 21 | -25.060 |
| 22 | -11.972 |
| 23 | -11.554 |
| 24 | -25.343 |